Here is a relaxed structure of Cs5Rb4H from Alexandria. Energies are from GGA-PBE.

The space group is I4mm (No. 107) and the conventional cell measures 14.987, 14.987 and 7.612 Å, with angles of 90.00, 90.00 and 90.00 degrees. The asymmetric unit holds Cs at (0.000, 0.000, 0.000), Cs at (0.154, 0.154, 0.535), Rb at (0.000, 0.342, 0.039) and H at (0.000, 0.000, 0.586).

The calculation puts the density of states at the Fermi level at 16.306 states/eV/cell. The final energy is -1.16 eV per atom. As for the total magnetization: 0.00 μB/cell.

***

Here is a relaxed structure of Ti2NbSbAs from Alexandria. Energies are from GGA-PBE.

The space group is P4/mmm (No. 123) and the conventional cell measures 4.822, 4.822 and 5.207 Å, with angles of 90.00, 90.00 and 90.00 degrees. The asymmetric unit holds Ti at (0.000, 0.500, 0.000), Nb at (0.000, 0.000, 0.000), Sb at (0.000, 0.000, 0.500) and As at (0.500, 0.500, 0.500).

The calculation puts the density of states at the Fermi level at 5.509 states/eV/cell. The final energy is -6.09 eV per atom. As for the total magnetization: 0.00 μB/cell.

***

Here is a relaxed structure of Ac2Pm3Dy7 from Alexandria. Energies are from GGA-PBE.

The space group is P2/m (No. 10) and the conventional cell measures 6.446, 3.612 and 17.904 Å, with angles of 90.00, 96.54 and 90.00 degrees. The asymmetric unit holds Ac at (0.054, 0.000, 0.175), Pm at (0.456, 0.500, 0.841), Pm at (0.500, 0.000, 0.500), Dy at (0.000, 0.500, 0.500), Dy at (0.229, 0.000, 0.662), Dy at (0.259, 0.000, 0.001) and Dy at (0.278, 0.500, 0.341).

The calculation puts the density of states at the Fermi level at 18.482 states/eV/cell. The final energy is -4.45 eV per atom. The value obtained for the formation energy is 112 meV per atom. As for the total magnetization: 0.00 μB/cell.

***

Here is a relaxed structure of SiTe2 from Alexandria. Energies are from GGA-PBE.

The space group is P4/mmm (No. 123) and the conventional cell measures 3.856, 3.856 and 5.627 Å, with angles of 90.00, 90.00 and 90.00 degrees. The asymmetric unit holds Si at (0.000, 0.000, 0.000), Te at (0.000, 0.000, 0.500) and Te at (0.500, 0.500, 0.000).

The calculation puts the density of states at the Fermi level at 2.338 states/eV/cell. The final energy is -3.55 eV per atom. As for the total magnetization: 0.00 μB/cell.

***

Here is a relaxed structure of LaP2H from Alexandria. Energies are from GGA-PBE.

The space group is I-42d (No. 122) and the conventional cell measures 4.611, 4.611 and 13.691 Å, with angles of 90.00, 90.00 and 90.00 degrees. The asymmetric unit holds La at (0.000, 0.000, 0.000), P at (0.036, 0.250, 0.625) and H at (0.000, 0.000, 0.500).

The calculation puts the density of states at the Fermi level at 4.364 states/eV/cell. The final energy is -5.10 eV per atom. As for the total magnetization: 0.00 μB/cell.

***

Here is a relaxed structure of Li2PmTl2In2 from Alexandria. Energies are from GGA-PBE.

The space group is C2/m (No. 12) and the conventional cell measures 8.391, 4.839 and 8.747 Å, with angles of 90.00, 108.46 and 90.00 degrees. The asymmetric unit holds Li at (0.143, 0.000, 0.432), Pm at (0.000, 0.000, 0.000), Tl at (0.229, 0.500, 0.191) and In at (0.062, 0.500, 0.682).

The calculation puts the density of states at the Fermi level at 3.574 states/eV/cell. The final energy is -2.96 eV per atom. The value obtained for the formation energy is -281 meV per atom. As for the total magnetization: 0.00 μB/cell.